Entry w
DFT (PBE-GGA) results for a relaxed CaLa2Ta crystal.

Geometry as POSCAR:
```
CaLa2Ta
1.0
12.004 -0.014 -0.008
11.503 3.432 -0.008
11.503 1.673 2.997
La Ca Ta
2 1 1
direct
0.512 0.512 0.512 La
0.988 0.988 0.988 La
0.750 0.750 0.750 Ca
0.250 0.250 0.250 Ta
```

## Properties
- Fermi-level density of states (states/eV/atom) = 1.237
- magnetization (μB/cell) = 0.00

---

Entry x
DFT (PBE-GGA) results for a relaxed CaLa2Ta crystal.

Geometry as POSCAR:
```
CaLa2Ta
1.0
-6.474 0.024 2.374
-2.047 -5.161 4.089
4.057 5.442 -1.217
Ca La Ta
1 2 1
direct
0.250 0.750 0.500 Ca
0.954 0.954 0.000 La
0.546 0.546 0.000 La
0.750 0.250 0.500 Ta
```

## Properties
- Fermi-level density of states (states/eV/atom) = 1.250
- magnetization (μB/cell) = 0.98

---

entry w (36 meV per atom below the next structure)